# PBE ZnCr2Mo, relaxed
# Energy of formation from the pure elements = 0.246 eV per atom
# Mass density = 8.2 g/cm3
# VASP energy = -7.5924 eV per atom
# V = 13.4 Å³ per atom
# Crystal system = orthorhombic
# DOS(E_F) = 6.97 states/eV/cell
data_ZnCr2Mo
_cell_length_a 3.114
_cell_length_b 4.205
_cell_length_c 8.193
_cell_angle_alpha 90.00
_cell_angle_beta 90.00
_cell_angle_gamma 90.00
_symmetry_space_group_name_H-M 'I m m m'
_symmetry_Int_Tables_number 71
_symmetry_space_group_name_Hall '-I 2 2'
loop_
_atom_site_label
_atom_site_type_symbol
_atom_site_fract_x
_atom_site_fract_y
_atom_site_fract_z
_atom_site_occupancy
Zn1 Zn 0.000 0.000 0.000 1
Cr1 Cr 0.000 0.500 0.238 1
Mo1 Mo 0.000 0.000 0.500 1

***

# PBE ZnCr2Mo, relaxed
# Energy of formation from the pure elements = 0.187 eV per atom
# Mass density = 8.2 g/cm3
# VASP energy = -7.6514 eV per atom
# V = 13.4 Å³ per atom
# Crystal system = tetragonal
# DOS(E_F) = 2.65 states/eV/cell
data_ZnCr2Mo
_cell_length_a 2.867
_cell_length_b 2.867
_cell_length_c 6.530
_cell_angle_alpha 90.00
_cell_angle_beta 90.00
_cell_angle_gamma 90.00
_symmetry_space_group_name_H-M 'P 4 m m'
_symmetry_Int_Tables_number 99
loop_
_symmetry_equiv_pos_as_xyz
'x,y,z'
'-y,x,z'
'-x,-y,z'
'y,-x,z'
'-x,y,z'
'y,x,z'
'x,-y,z'
'-y,-x,z'
loop_
_atom_site_label
_atom_site_type_symbol
_atom_site_fract_x
_atom_site_fract_y
_atom_site_fract_z
_atom_site_occupancy
Zn1 Zn 0.000 0.000 0.000 1
Cr1 Cr 0.000 0.000 0.439 1
Cr2 Cr 0.500 0.500 0.259 1
Mo1 Mo 0.500 0.500 0.708 1

***

# PBE ZnCr2Mo, relaxed
# Energy of formation from the pure elements = 0.295 eV per atom
# Mass density = 8.0 g/cm3
# VASP energy = -7.5428 eV per atom
# V = 13.8 Å³ per atom
# Crystal system = trigonal
# DOS(E_F) = 5.30 states/eV/cell
data_ZnCr2Mo
_cell_length_a 2.7464
_cell_length_b 2.7464
_cell_length_c 25.3424
_cell_angle_alpha 90.00
_cell_angle_beta 90.00
_cell_angle_gamma 120.00
_symmetry_space_group_name_H-M 'R 3 m'
_symmetry_Int_Tables_number 160
_symmetry_space_group_name_Hall 'R 3 -2"'
loop_
_atom_site_label
_atom_site_type_symbol
_atom_site_fract_x
_atom_site_fract_y
_atom_site_fract_z
_atom_site_occupancy
Zn1 Zn 0.0000 0.0000 0.0000 1
Cr1 Cr 0.0000 0.0000 0.2461 1
Cr2 Cr 0.0000 0.0000 0.5142 1
Mo1 Mo 0.0000 0.0000 0.7597 1